# Mg3AsN | Alexandria | PBE | relaxed
data_Mg3AsN
_space_group_name_H-M_alt 'C 1 2/c 1'
_space_group_IT_number 15
_space_group_name_Hall '-C 2yc'
_cell_length_a 11.8492
_cell_length_b 10.0164
_cell_length_c 6.0982
_cell_angle_alpha 90.00
_cell_angle_beta 92.34
_cell_angle_gamma 90.00
loop_
_atom_site_label
_atom_site_type_symbol
_atom_site_fract_x
_atom_site_fract_y
_atom_site_fract_z
Mg1 Mg 0.1133 0.1147 0.1266
Mg2 Mg 0.1445 0.2295 0.5559
Mg3 Mg 0.1533 0.4769 0.9436
As1 As 0.0000 0.0955 0.7500
As2 As 0.0000 0.3524 0.2500
N1 N 0.2408 0.3884 0.6725
# Formation energy from raw total energies: -0.4926 eV/atom
# E: -4.044 eV/atom

---

# Pr3NdDyHo | Alexandria | PBE | relaxed
data_Pr3NdDyHo
_space_group_name_H-M_alt 'P 1 21/m 1'
_space_group_IT_number 11
_space_group_name_Hall '-P 2yb'
_cell_length_a 10.9387
_cell_length_b 3.6544
_cell_length_c 10.9628
_cell_angle_alpha 90.00
_cell_angle_beta 109.58
_cell_angle_gamma 90.00
loop_
_atom_site_label
_atom_site_type_symbol
_atom_site_fract_x
_atom_site_fract_y
_atom_site_fract_z
Pr1 Pr 0.0402 0.2500 0.3696
Pr2 Pr 0.2914 0.7500 0.6272
Pr3 Pr 0.4547 0.7500 0.1225
Nd1 Nd 0.3723 0.2500 0.3719
Dy1 Dy 0.2055 0.2500 0.8792
Ho1 Ho 0.1219 0.7500 0.1203
# DFT formation energy: 19 meV per atom
# E: -4.696 eV/atom

---

# AlTeAu3 | Alexandria | PBE | relaxed
data_AlTeAu3
_space_group_name_H-M_alt 'P m -3 m'
_space_group_IT_number 221
_space_group_name_Hall '-P 4 2 3'
_cell_length_a 5.3279
_cell_length_b 5.3279
_cell_length_c 5.3279
_cell_angle_alpha 90.00
_cell_angle_beta 90.00
_cell_angle_gamma 90.00
loop_
_atom_site_label
_atom_site_type_symbol
_atom_site_fract_x
_atom_site_fract_y
_atom_site_fract_z
Al1 Al 0.0000 0.0000 0.0000
Te1 Te 0.5000 0.5000 0.5000
Au1 Au 0.0000 0.5000 0.5000
# Energy above the most stable polymorph in this dataset: 0.226 eV/atom
# Formation energy from raw total energies: 0.5815 eV/atom
# E: -2.762 eV/atom

---

# Tm4TlBi2 | Alexandria | PBE | relaxed
data_Tm4TlBi2
_space_group_name_H-M_alt 'P 1 21/m 1'
_space_group_IT_number 11
_space_group_name_Hall '-P 2yb'
_cell_length_a 6.0454
_cell_length_b 6.6460
_cell_length_c 10.3972
_cell_angle_alpha 90.00
_cell_angle_beta 101.65
_cell_angle_gamma 90.00
loop_
_atom_site_label
_atom_site_type_symbol
_atom_site_fract_x
_atom_site_fract_y
_atom_site_fract_z
Tm1 Tm 0.0069 0.2500 0.1655
Tm2 Tm 0.1377 0.7500 0.4493
Tm3 Tm 0.4474 0.0027 0.7369
Tl1 Tl 0.0697 0.7500 0.1574
Bi1 Bi 0.3121 0.2500 0.4601
Bi2 Bi 0.4516 0.2500 0.0033
# DFT formation energy: -351 meV per atom
# E: -4.353 eV/atom

---

# NaPd2Rh | Alexandria | PBE | relaxed
data_NaPd2Rh
_space_group_name_H-M_alt 'I -4 2 d'
_space_group_IT_number 122
_space_group_name_Hall 'I -4 2bw'
_cell_length_a 3.8822
_cell_length_b 3.8822
_cell_length_c 18.4254
_cell_angle_alpha 90.00
_cell_angle_beta 90.00
_cell_angle_gamma 90.00
loop_
_atom_site_label
_atom_site_type_symbol
_atom_site_fract_x
_atom_site_fract_y
_atom_site_fract_z
Na1 Na 0.0000 0.0000 0.0000
Pd1 Pd 0.2393 0.2500 0.6250
Rh1 Rh 0.0000 0.0000 0.5000
# Energy above the most stable polymorph in this dataset: 0.414 eV/atom
# DFT formation energy: 497 meV per atom
# E: -4.267 eV/atom

---

# Li2PHSe4 | Alexandria | PBE | relaxed
data_Li2PHSe4
_space_group_name_H-M_alt 'P m n 21'
_space_group_IT_number 31
_space_group_name_Hall 'P 2ac -2'
_cell_length_a 8.9966
_cell_length_b 6.6503
_cell_length_c 6.5291
_cell_angle_alpha 90.00
_cell_angle_beta 90.00
_cell_angle_gamma 90.00
loop_
_atom_site_label
_atom_site_type_symbol
_atom_site_fract_x
_atom_site_fract_y
_atom_site_fract_z
Li1 Li 0.2384 0.2045 0.0000
P1 P 0.0000 0.6836 0.9715
H1 H 0.0000 0.4834 0.3730
Se1 Se 0.0000 0.3689 0.8739
Se2 Se 0.0000 0.7045 0.3385
Se3 Se 0.2111 0.8285 0.8894
# E: -3.806 eV/atom

---

# Li2Ca2ScCd5 | Alexandria | PBE | relaxed
data_Li2Ca2ScCd5
_space_group_name_H-M_alt 'P 4/m b m'
_space_group_IT_number 127
_space_group_name_Hall '-P 4 2ab'
_cell_length_a 10.7421
_cell_length_b 10.7421
_cell_length_c 3.9827
_cell_angle_alpha 90.00
_cell_angle_beta 90.00
_cell_angle_gamma 90.00
loop_
_atom_site_label
_atom_site_type_symbol
_atom_site_fract_x
_atom_site_fract_y
_atom_site_fract_z
Li1 Li 0.1186 0.3814 0.0000
Ca1 Ca 0.1806 0.6806 0.0000
Sc1 Sc 0.0000 0.0000 0.0000
Cd1 Cd 0.0000 0.5000 0.5000
Cd2 Cd 0.0560 0.2068 0.5000
# DFT formation energy: -274 meV per atom
# E: -2.148 eV/atom

---

# ZrTaFe2 | Alexandria | PBE | relaxed
data_ZrTaFe2
_space_group_name_H-M_alt 'P 1 2/m 1'
_space_group_IT_number 10
_space_group_name_Hall '-P 2y'
_cell_length_a 4.2777
_cell_length_b 3.0691
_cell_length_c 5.2341
_cell_angle_alpha 90.00
_cell_angle_beta 111.33
_cell_angle_gamma 90.00
loop_
_atom_site_label
_atom_site_type_symbol
_atom_site_fract_x
_atom_site_fract_y
_atom_site_fract_z
Zr1 Zr 0.0000 0.0000 0.0000
Ta1 Ta 0.5000 0.5000 0.5000
Fe1 Fe 0.0000 0.0000 0.5000
Fe2 Fe 0.5000 0.5000 0.0000
# DFT formation energy: 235 meV per atom
# E: -9.096 eV/atom

---

# BaIr2Br | Alexandria | PBE | relaxed
data_BaIr2Br
_space_group_name_H-M_alt 'F -4 3 m'
_space_group_IT_number 216
_space_group_name_Hall 'F -4 2 3'
_cell_length_a 7.1964
_cell_length_b 7.1964
_cell_length_c 7.1964
_cell_angle_alpha 90.00
_cell_angle_beta 90.00
_cell_angle_gamma 90.00
loop_
_atom_site_label
_atom_site_type_symbol
_atom_site_fract_x
_atom_site_fract_y
_atom_site_fract_z
Ba1 Ba 0.0000 0.0000 0.0000
Ir1 Ir 0.0000 0.0000 0.5000
Ir2 Ir 0.2500 0.2500 0.7500
Br1 Br 0.2500 0.2500 0.2500
# Energy above the most stable polymorph in this dataset: 0.938 eV/atom
# Formation energy from raw total energies: 0.7451 eV/atom
# E: -4.584 eV/atom

---

# YZrRe2Ru | Alexandria | PBE | relaxed
data_YZrRe2Ru
_space_group_name_H-M_alt 'P 4/m m m'
_space_group_IT_number 123
_space_group_name_Hall '-P 4 2'
_cell_length_a 4.7654
_cell_length_b 4.7654
_cell_length_c 4.9012
_cell_angle_alpha 90.00
_cell_angle_beta 90.00
_cell_angle_gamma 90.00
loop_
_atom_site_label
_atom_site_type_symbol
_atom_site_fract_x
_atom_site_fract_y
_atom_site_fract_z
Y1 Y 0.0000 0.0000 0.0000
Zr1 Zr 0.5000 0.5000 0.0000
Re1 Re 0.0000 0.5000 0.5000
Ru1 Ru 0.0000 0.0000 0.5000
# Energy above the most stable polymorph in this dataset: 0.000 eV/atom
# DFT formation energy: 1133 meV per atom
# E: -8.704 eV/atom

---

# Li2TmTlO4 | Alexandria | PBE | relaxed
data_Li2TmTlO4
_space_group_name_H-M_alt 'P 1 2/m 1'
_space_group_IT_number 10
_space_group_name_Hall '-P 2y'
_cell_length_a 5.4474
_cell_length_b 3.3512
_cell_length_c 5.6358
_cell_angle_alpha 90.00
_cell_angle_beta 108.62
_cell_angle_gamma 90.00
loop_
_atom_site_label
_atom_site_type_symbol
_atom_site_fract_x
_atom_site_fract_y
_atom_site_fract_z
Li1 Li 0.0000 0.0000 0.0000
Li2 Li 0.0000 0.5000 0.5000
Tm1 Tm 0.5000 0.0000 0.5000
Tl1 Tl 0.5000 0.5000 0.0000
O1 O 0.2508 0.0000 0.7542
O2 O 0.2594 0.5000 0.2750
# Formation energy from raw total energies: -2.0038 eV/atom
# E: -5.816 eV/atom

---

# Nd12ErTm3 | Alexandria | PBE | relaxed
data_Nd12ErTm3
_space_group_name_H-M_alt 'P 4/m m m'
_space_group_IT_number 123
_space_group_name_Hall '-P 4 2'
_cell_length_a 5.1401
_cell_length_b 5.1401
_cell_length_c 20.4912
_cell_angle_alpha 90.00
_cell_angle_beta 90.00
_cell_angle_gamma 90.00
loop_
_atom_site_label
_atom_site_type_symbol
_atom_site_fract_x
_atom_site_fract_y
_atom_site_fract_z
Nd1 Nd 0.0000 0.0000 0.0000
Nd2 Nd 0.0000 0.0000 0.2500
Nd3 Nd 0.0000 0.0000 0.5000
Nd4 Nd 0.0000 0.5000 0.1251
Nd5 Nd 0.0000 0.5000 0.3750
Er1 Er 0.5000 0.5000 0.0000
Tm1 Tm 0.5000 0.5000 0.2500
Tm2 Tm 0.5000 0.5000 0.5000
# DFT formation energy: 13 meV per atom
# E: -4.686 eV/atom

---

| no. | M_tot (μB per cell) |
| --- | --- |
| 1 | 0.00 |
| 2 | 0.00 |
| 3 | 0.00 |
| 4 | 0.00 |
| 5 | 0.00 |
| 6 | 0.00 |
| 7 | 0.00 |
| 8 | 1.76 |
| 9 | 11.84 |
| 10 | 0.00 |
| 11 | 0.00 |
| 12 | 0.00 |